This record from Alexandria describes crystalline Co2PHO at its relaxed geometry. The functional is GGA+U.

Summary:
SG: P4/mmm, No. 123
DFT total energy: -0.346 Ry per atom
DOS at the Fermi energy: 0.591 states/eV per cell
Calculated volume: 10.037 Å³ per atom

a b c (Å): 4.479 4.479 2.501
angles (deg): 90.00 90.00 90.00
Fractional positions:
1 Co 0.000 0.500 0.000
2 Co 0.500 0.000 0.000
3 P 0.000 0.000 0.500
4 H 0.500 0.500 0.000
5 O 0.500 0.500 0.500